# 1
The following is a PBE calculation of an optimized crystal structure of Gd3Cd3Pt2Au, from the Open Quantum Materials Database.

Computed properties:
* ΔH_f (0 K): -7.37 eV/f.u.

Lattice parameters (Å, degrees): 7.6911 7.6911 3.9464 90.00 90.00 120.00
Closest atoms and distances in Å follow each position.
Positions (direct):
Cd  0.0000  0.7387  0.5000  2 Au 2.82, 2 Pt 2.88
Gd  0.5893  0.5893  0.0000  4 Pt 3.05, 1 Au 3.16, 6 Cd 3.20-3.40
Pt  0.6667  0.3333  0.5000  3 Cd 2.88, 6 Gd 3.05
Cd  0.2613  0.2613  0.5000  2 Au 2.82, 2 Pt 2.88
Pt  0.3333  0.6667  0.5000  3 Cd 2.88, 6 Gd 3.05
Cd  0.7387  0.0000  0.5000  2 Au 2.82, 2 Pt 2.88
Au  0.0000  0.0000  0.0000  6 Cd 2.82
Gd  0.0000  0.4107  0.0000  4 Pt 3.05, 1 Au 3.16, 6 Cd 3.20-3.40
Gd  0.4107  0.0000  0.0000  4 Pt 3.05, 1 Au 3.16, 6 Cd 3.20-3.40

---

# 2
The following is a PBE calculation of an optimized crystal structure of LiHfAl, from the Open Quantum Materials Database.

Computed properties:
* calculated total energy: -4.81 eV/atom

Lattice parameters (Å, degrees): 4.4951 4.4951 4.4951 60.00 60.00 60.00
Closest atoms and distances in Å follow each position.
Positions (direct):
Li  0.7500  0.7500  0.7500  4 Al 2.75
Hf  0.2500  0.2500  0.2500  4 Al 2.75
Al  0.0000  0.0000  0.0000  4 Hf 2.75, 4 Li 2.75

---

# 3
The following is a PBE calculation of an optimized crystal structure of YCdB4, from the Open Quantum Materials Database.

Computed properties:
* calculated total energy: -5.76 eV/atom

Lattice parameters (Å, degrees): 5.1223 5.1223 5.1223 143.60 116.28 75.66
Closest atoms and distances in Å follow each position.
Positions (direct):
B  0.0637  0.7399  0.3238  3 B 1.80-1.91
Cd  0.5000  0.5000  0.0000  12 B 2.61-2.81
B  0.5839  0.2601  0.3238  3 B 1.80-1.91
B  0.9363  0.2601  0.6762  3 B 1.80-1.91
Y  0.0000  0.0000  0.0000  12 B 2.69-2.74
B  0.4161  0.7399  0.6762  3 B 1.80-1.91

---

# 4
The following is a PBE calculation of an optimized crystal structure of SmHfNi, from the Open Quantum Materials Database.

Computed properties:
* ΔH_f (0 K): 0.35 eV/f.u.

Lattice parameters (Å, degrees): 4.5609 4.5609 4.5609 60.00 60.00 60.00
Closest atoms and distances in Å follow each position.
Positions (direct):
Ni  0.0000  0.0000  0.0000  4 Sm 2.79, 4 Hf 2.79
Hf  0.2500  0.2500  0.2500  4 Ni 2.79
Sm  0.7500  0.7500  0.7500  4 Ni 2.79

---

# 5
The following is a PBE calculation of an optimized crystal structure of Tm3As3Br2O8, from the Open Quantum Materials Database.

Computed properties:
* calculated total energy: -6.71 eV/atom

Lattice parameters (Å, degrees): 5.3251 8.6043 10.7645 90.60 94.70 90.25
Closest atoms and distances in Å follow each position.
Positions (direct):
Tm  0.7350  0.6951  0.3682  4 O 2.17-2.35
As  0.8138  0.7386  0.9009  3 O 1.78-1.98
O  0.5001  0.1713  0.5146  1 As 1.88
Tm  0.7376  0.9971  0.1265  7 O 2.21-2.42
Tm  0.2650  0.3049  0.6318  4 O 2.17-2.35
O  0.4212  0.1378  0.0433  1 As 1.78
Br  0.2997  0.5068  0.8478  1 Tm 2.88
As  0.8069  0.2859  0.8474  3 O 1.81-1.89
Br  0.2313  0.4956  0.3890  3 Tm 3.09-3.20, 4 As 3.14-3.46, 4 O 3.32-3.40
As  0.2761  0.7539  0.5975  3 O 1.79-1.88
O  0.0640  0.8427  0.0210  2 As 1.89-1.98
O  0.0170  0.1785  0.7450  1 As 1.87
O  0.4567  0.8248  0.2243  1 As 1.81
O  0.9360  0.1573  0.9790  2 As 1.89-1.98
O  0.9233  0.8628  0.7840  1 As 1.79
O  0.5433  0.1752  0.7757  1 As 1.81
O  0.5788  0.8622  0.9567  1 As 1.78
O  0.4999  0.8287  0.4854  1 As 1.88
As  0.1862  0.2614  0.0991  3 O 1.78-1.98
As  0.7239  0.2461  0.4025  3 O 1.79-1.88
Br  0.7003  0.4932  0.1522  1 Tm 2.88
Br  0.7687  0.5044  0.6110  3 Tm 3.09-3.20, 4 As 3.14-3.46, 4 O 3.32-3.40
O  0.6194  0.0840  0.3067  1 As 1.79
O  0.3806  0.9160  0.6933  1 As 1.79
Tm  0.2480  0.0005  0.3717  7 O 2.20-2.45
Tm  0.2624  0.0029  0.8735  7 O 2.21-2.42
O  0.0057  0.8423  0.5080  1 As 1.84
O  0.9943  0.1577  0.4920  1 As 1.84
O  0.0767  0.1372  0.2160  1 As 1.79
As  0.1931  0.7141  0.1526  3 O 1.81-1.89
O  0.9830  0.8215  0.2550  1 As 1.87
Tm  0.7520  0.9995  0.6283  7 O 2.20-2.45

---

# 6
The following is a PBE calculation of an optimized crystal structure of Tm2Mo, from the Open Quantum Materials Database.

Computed properties:
* ΔH_f (0 K): 5.98 eV/f.u.

Lattice parameters (Å, degrees): 8.1618 8.1618 8.1618 60.00 60.00 60.00
Closest atoms and distances in Å follow each position.
Positions (direct):
Tm  0.8750  0.3750  0.3750  2 Mo 2.50
Tm  0.3750  0.8750  0.3750  2 Mo 2.50
Tm  0.3750  0.3750  0.3750  2 Mo 2.50
Mo  0.5000  0.5000  0.5000  4 Tm 2.50
Tm  0.3750  0.3750  0.8750  2 Mo 2.50
Mo  0.2500  0.2500  0.2500  4 Tm 2.50

---

# 7
The following is a PBE calculation of an optimized crystal structure of Zr3Al3CuIr2, from the Open Quantum Materials Database.

Computed properties:
* calculated total energy: -7.22 eV/atom

Lattice parameters (Å, degrees): 7.2299 7.2299 3.4410 90.00 90.00 120.00
Closest atoms and distances in Å follow each position.
Positions (direct):
Zr  0.4009  0.4009  0.5000  4 Ir 2.80, 1 Cu 2.90, 6 Al 3.01-3.07
Al  0.7427  0.7427  0.0000  2 Cu 2.53, 2 Ir 2.73
Al  0.0000  0.2573  0.0000  2 Cu 2.53, 2 Ir 2.73
Zr  0.5991  0.0000  0.5000  4 Ir 2.80, 1 Cu 2.90, 6 Al 3.01-3.07
Cu  0.0000  0.0000  0.5000  6 Al 2.53
Zr  0.0000  0.5991  0.5000  4 Ir 2.80, 1 Cu 2.90, 6 Al 3.01-3.07
Ir  0.3333  0.6667  0.0000  3 Al 2.73, 6 Zr 2.80
Ir  0.6667  0.3333  0.0000  3 Al 2.73, 6 Zr 2.80
Al  0.2573  0.0000  0.0000  2 Cu 2.53, 2 Ir 2.73

---

# 8
The following is a PBE calculation of an optimized crystal structure of YMg4ScZn2, from the Open Quantum Materials Database.

Computed properties:
* calculated total energy: -2.85 eV/atom

Lattice parameters (Å, degrees): 4.8949 4.8949 6.9485 90.00 90.00 90.00
Closest atoms and distances in Å follow each position.
Positions (direct):
Mg  0.0000  0.0000  0.5000  4 Mg 3.05, 4 Zn 3.05
Sc  0.0000  0.0000  0.0000  4 Zn 2.95, 4 Mg 2.95
Mg  0.5000  0.0000  0.7625  4 Mg 2.95-3.05, 2 Sc 2.95, 2 Y 3.05, 1 Zn 3.30
Y  0.5000  0.5000  0.5000  4 Mg 3.05, 4 Zn 3.05
Mg  0.5000  0.5000  0.0000  4 Zn 2.95, 4 Mg 2.95
Zn  0.5000  0.0000  0.2374  5 Mg 2.95-3.30, 2 Sc 2.95, 2 Y 3.05
Zn  0.0000  0.5000  0.7626  5 Mg 2.95-3.30, 2 Sc 2.95, 2 Y 3.05
Mg  0.0000  0.5000  0.2375  4 Mg 2.95-3.05, 2 Sc 2.95, 2 Y 3.05, 1 Zn 3.30